1.
Compound: Tb3Ho2ErSe6
Source: the Alexandria database
Functional: PBE
Structure: relaxed

Calculated values
* final energy: -0.4253 Ry/atom
* D(E_F): 5.5 states/eV/cell
* total magnetization: 0.001 μB/cell
* E_form (uncorrected): -1.7430 eV/atom

a = 9.1041 Å, b = 9.1041 Å, c = 8.1801 Å
α = 103.29°, β = 103.29°, γ = 25.76°
Closest atoms and distances in Å follow each position.
Fractional positions:
Tb1 0.0000 0.0000 0.0000  6 Se 2.89-2.90
Tb2 0.3329 0.3329 0.6671  6 Se 2.89-2.90
Tb3 0.6671 0.6671 0.3329  6 Se 2.89-2.90
Ho1 0.3331 0.3331 0.1663  6 Se 2.86-2.87
Ho2 0.6669 0.6669 0.8337  6 Se 2.86-2.87
Er1 0.0000 0.0000 0.5000  6 Se 2.85-2.86
Se1 0.1651 0.1651 0.5850  1 Er 2.85, 2 Ho 2.87, 3 Tb 2.89-2.90
Se2 0.1674 0.1674 0.0809  3 Ho 2.86, 3 Tb 2.89
Se3 0.4993 0.4993 0.2536  2 Er 2.86, 1 Ho 2.87, 3 Tb 2.90
Se4 0.5007 0.5007 0.7464  2 Er 2.86, 1 Ho 2.87, 3 Tb 2.90
Se5 0.8326 0.8326 0.9191  3 Ho 2.86, 3 Tb 2.89
Se6 0.8349 0.8349 0.4150  1 Er 2.85, 2 Ho 2.87, 3 Tb 2.89-2.90

2.
Compound: Tb2HoAl
Source: the Alexandria database
Functional: PBE
Structure: relaxed

Calculated values
* final energy: -0.3279 Ry/atom
* D(E_F): 4.0 states/eV/cell
* total magnetization: 0.661 μB/cell
* ΔH_f (0 K): -0.07 eV/atom

a = 10.6181 Å, b = 10.6181 Å, c = 10.6181 Å
α = 19.46°, β = 19.46°, γ = 19.46°
Closest atoms and distances in Å follow each position.
Fractional positions:
Tb1 0.0000 0.0000 0.0000  3 Al 3.09
Tb2 0.1873 0.1873 0.1873  3 Al 3.07
Ho1 0.4272 0.4272 0.4272  6 Tb 3.58-3.59, 6 Ho 3.59
Al1 0.5933 0.5933 0.5933  6 Tb 3.07-3.09

3.
Compound: Cs2AcHg4
Source: the Alexandria database
Functional: PBE
Structure: relaxed

Calculated values
* final energy: -0.0813 Ry/atom
* D(E_F): 4.0 states/eV/cell
* total magnetization: 0.000 μB/cell
* ΔH_f (0 K): -0.10 eV/atom

a = 10.7595 Å, b = 10.7595 Å, c = 10.7595 Å
α = 145.69°, β = 145.69°, γ = 49.31°
Closest atoms and distances in Å follow each position.
Fractional positions:
Cs1 0.1288 0.1288 0.0000  5 Hg 3.97-4.05
Cs2 0.8712 0.8712 0.0000  5 Hg 3.97-4.05
Ac1 0.5000 0.5000 0.0000  6 Hg 3.17-3.28
Hg1 0.0000 0.5000 0.5000  2 Ac 3.17
Hg2 0.3321 0.3321 0.0000  1 Ac 3.28
Hg3 0.5000 0.0000 0.5000  2 Ac 3.17
Hg4 0.6679 0.6679 0.0000  1 Ac 3.28

V for every record listed, in sequence, given in Å³/cell: 286.4; 116.2; 394.0.